1) The following is a DFT calculation (PBE) of a relaxed CeZn9Ni2 crystal.

The calculation puts the calculated volume at 15.3 Å³/atom.

The space group is I4_1/amd (No. 141, origin choice 2) and the conventional cell measures 10.434, 10.434 and 6.739 Å, with angles of 90.00, 90.00 and 90.00 degrees. The distinct sites, in fractional coordinates, are Ce at (0.000, 0.250, 0.375), Zn at (0.000, 0.250, 0.875), Zn at (0.122, 0.047, 0.686) and Ni at (0.000, 0.000, 0.000).

2) The following is a DFT calculation (PBE) of a relaxed CeZn9Ni2 crystal.

The calculation puts the calculated volume at 15.3 Å³/atom.

The space group is P6/mmm (No. 191) and the conventional cell measures 8.6004, 8.6004 and 2.8716 Å, with angles of 90.00, 90.00 and 120.00 degrees. The distinct sites, in fractional coordinates, are Ce at (0.0000, 0.0000, 0.0000), Zn at (0.0000, 0.5000, 0.0000), Zn at (0.1904, 0.3807, 0.5000) and Ni at (0.3333, 0.6667, 0.0000).

It is 1) that is the most stable of them.

1) The following is a DFT calculation (PBE) of a relaxed Ce2ZnNi crystal.

The calculation puts the calculated volume at 21.4 Å³/atom.

The space group is R-3m (No. 166, hexagonal axes) and the conventional cell measures 3.0263, 3.0263 and 32.3181 Å, with angles of 90.00, 90.00 and 120.00 degrees. The distinct sites, in fractional coordinates, are Ce at (0.0000, 0.0000, 0.0972), Zn at (0.0000, 0.0000, 0.0000) and Ni at (0.0000, 0.0000, 0.5000).

2) The following is a DFT calculation (PBE) of a relaxed Ce2ZnNi crystal.

The calculation puts the calculated volume at 21.8 Å³/atom.

The space group is Fm-3m (No. 225) and the conventional cell measures 7.037, 7.037 and 7.037 Å, with angles of 90.00, 90.00 and 90.00 degrees. The distinct sites, in fractional coordinates, are Ce at (0.250, 0.250, 0.250), Zn at (0.000, 0.000, 0.000) and Ni at (0.000, 0.000, 0.500).

It is 2) that is the most stable of them.